LaSm6Dy3Tm2, relaxed, DFT GGA-PBE; VASP energy = -4.646 eV/atom; crystal system = monoclinic; size of the total moment = 0.00 μB per atom; space-group type = C2/m
1.0
6.229 0.000 0.019
-3.113 5.395 0.019
-1.075 -1.861 11.708
Sm Tm La Dy
6 2 1 3
Cartesian
2.078 -0.014 2.956
-0.024 -0.041 8.772
-1.051 1.793 2.956
3.092 1.741 8.792
2.065 3.575 2.976
-0.037 3.548 8.792
3.115 1.799 0.019
0.001 3.597 0.019
0.000 0.000 0.000
1.021 1.767 5.874
4.130 -0.029 5.874
-2.089 3.563 5.874

Re5Mo, relaxed, DFT GGA-PBE; VASP energy = -12.097 eV/atom; crystal system = hexagonal; size of the total moment = 0.00 μB per atom; space-group type = P-62m
1.0
4.818 0.000 0.000
-2.409 4.173 0.000
0.000 0.000 4.510
Re Mo
5 1
Cartesian
-0.803 1.391 2.255
2.415 1.401 0.000
4.806 0.000 0.000
0.006 2.771 0.000
1.606 2.782 2.255
1.606 0.000 2.255

La2YHgO, relaxed, DFT GGA-PBE; formation energy from raw total energies = -6.75 eV/f.u.; VASP energy = -5.666 eV/atom; crystal system = tetragonal; size of the total moment = 0.00 μB per atom; space-group type = P4/mmm
1.0
5.078 0.000 0.000
0.000 5.078 0.000
0.000 0.000 4.794
Y O La Hg
1 1 2 1
Cartesian
0.000 0.000 2.397
0.000 0.000 0.000
2.539 0.000 0.000
0.000 2.539 0.000
2.539 2.539 2.397

PuMgNi10, relaxed, DFT GGA-PBE; VASP energy = -6.249 eV/atom; crystal system = orthorhombic; size of the total moment = 0.07 μB per atom; space-group type = Pmmm
1.0
-2.388 -2.174 -2.321
3.118 -3.644 0.207
-3.880 -2.937 6.743
Ni Pu Mg
10 1 1
Cartesian
-1.757 -6.019 4.038
0.365 -2.909 -1.057
-1.393 -2.737 0.590
-1.312 -0.993 2.280
-1.642 -4.245 5.667
0.168 -4.562 0.694
-2.568 -1.944 4.463
0.880 -2.336 1.283
-3.318 -4.194 3.935
-3.134 -2.556 2.211
0.000 0.000 0.000
-0.381 -3.291 3.475

BeTl2Au, relaxed, DFT GGA-PBE; VASP energy = -2.428 eV/atom; crystal system = cubic; size of the total moment = 0.00 μB per atom; space-group type = Fm-3m
1.0
-1.098 -4.798 -0.955
-4.145 -2.055 1.931
-3.859 -1.142 -2.990
Be Au Tl
1 1 2
Cartesian
0.000 0.000 0.000
-4.551 -3.998 -1.007
-6.827 -5.997 -1.510
-2.276 -1.999 -0.503

NaAgOs2, relaxed, DFT GGA-PBE; VASP energy = -5.085 eV/atom; crystal system = cubic; size of the total moment = 0.00 μB per atom; space-group type = Fm-3m
1.0
0.707 -1.647 4.100
1.231 2.729 3.326
-2.866 0.928 3.309
Na Ag Os
1 1 2
Cartesian
0.000 0.000 0.000
-0.464 1.005 5.368
-0.696 1.508 8.052
-0.232 0.503 2.684

CoReNi2, relaxed, DFT GGA-PBE; VASP energy = -7.114 eV/atom; crystal system = tetragonal; size of the total moment = 0.28 μB per atom; space-group type = I-42d
1.0
-1.672 -4.406 4.416
0.394 -4.638 -4.478
1.719 -4.859 0.526
Re Ni Co
2 4 2
Cartesian
0.000 0.000 0.000
-0.296 -6.894 2.456
0.813 -7.078 0.330
-0.551 -4.508 2.291
0.167 -11.515 0.381
0.452 -4.704 -2.075
0.737 -7.009 -1.992
-0.639 -4.522 -0.031

TbDy3C8, relaxed, DFT GGA-PBE; VASP energy = -7.623 eV/atom; crystal system = monoclinic; size of the total moment = 0.00 μB per atom; space-group type = Cm
1.0
6.323 0.000 1.217
-3.078 5.021 2.286
0.167 0.000 5.789
Dy Tb C
3 1 8
Cartesian
3.041 2.534 6.847
3.413 0.000 3.551
-0.204 2.487 3.344
0.145 0.000 0.314
2.529 0.000 1.349
5.737 0.000 4.513
4.948 1.798 2.303
2.259 2.811 3.402
2.886 0.000 5.863
1.870 3.223 4.589
0.658 0.000 3.628
-0.818 2.210 5.688

TaMnCo2, relaxed, DFT GGA-PBE; VASP energy = -8.913 eV/atom; crystal system = tetragonal; size of the total moment = 1.45 μB per atom; space-group type = P4/mmm
1.0
-1.807 -0.044 2.391
-2.305 -0.758 -1.756
1.247 -5.732 0.836
Co Ta Mn
2 1 1
Cartesian
0.014 -0.065 0.009
0.609 -2.801 0.409
-1.121 -4.700 0.945
-1.744 -1.834 0.526

CePmBi, relaxed, DFT GGA-PBE; VASP energy = -5.194 eV/atom; crystal system = orthorhombic; size of the total moment = 0.23 μB per atom; space-group type = Immm
1.0
-2.842 -5.030 -0.869
2.814 -1.336 -1.470
2.917 0.097 9.535
Ce Bi Pm
2 2 2
Cartesian
0.636 -2.033 -0.971
-0.664 -4.333 -1.368
2.311 -1.629 1.870
0.578 -4.640 5.326
3.322 -2.704 4.783
-0.433 -3.565 2.413

Ca2TmMg5, relaxed, DFT GGA-PBE; VASP energy = -2.109 eV/atom; crystal system = tetragonal; size of the total moment = 0.00 μB per atom; space-group type = I4/mmm
1.0
5.383 0.000 0.000
0.000 5.383 0.000
-2.691 -2.691 7.629
Mg Ca Tm
5 2 1
Cartesian
2.691 2.691 0.000
2.691 0.000 5.890
2.691 0.000 1.739
0.000 2.691 5.890
0.000 2.691 1.739
0.000 0.000 3.849
2.691 2.691 3.780
0.000 0.000 0.000

CsPr2Lu, relaxed, DFT GGA-PBE; VASP energy = -3.446 eV/atom; crystal system = trigonal; size of the total moment = 0.00 μB per atom; space-group type = R-3m
1.0
-2.931 0.814 2.141
-0.094 -1.146 3.538
4.974 11.295 5.747
Cs Pr Lu
1 2 1
Cartesian
0.000 0.000 0.000
-1.286 2.985 6.801
3.234 7.978 4.626
0.974 5.482 5.713

AsPPbCl2, relaxed, DFT GGA-PBE; formation energy from raw total energies = 0.55 eV/f.u.; VASP energy = -3.382 eV/atom; crystal system = tetragonal; size of the total moment = 0.00 μB per atom; space-group type = P4/mmm
1.0
-3.184 -3.416 2.705
4.355 -2.405 2.089
-0.112 3.271 4.000
P Pb As Cl
1 1 1 2
Cartesian
-0.056 1.636 2.000
0.530 -1.275 4.397
0.000 0.000 0.000
-1.592 -1.708 1.352
2.178 -1.203 1.045